Entry from the Alexandria database: crystalline SrZnAg2Sn at its relaxed geometry (GGA-PBE).

a b c (Å): 5.3042 5.1532 5.3042
angles (deg): 90.00 90.00 90.00
Sites, in units of the cell vectors:
1 Ag 0.5000 0.0000 0.0000
2 Ag 0.0000 0.0000 0.5000
3 Zn 0.0000 0.5000 0.0000
4 Sn 0.0000 0.0000 0.0000
5 Sr 0.5000 0.5000 0.5000

Results
- DOS(E_F) (states/eV per cell) = 2.49
- energy of formation (meV per atom) = 72
- total magnetic moment (μB per cell) = 0.0
- space group = P4/mmm (123)
- energy (eV/atom) = -2.460